# 1
An optimized crystal structure of Dy4Pt, computed with PBE.

Computed properties:
* crystal system: cubic
* symmetry: Fd-3m
* formation energy from the elements: -38 meV per atom
* E: -4.93 eV per atom

abc: 7.731 7.731 7.731
angles: 60.00 60.00 60.00
Atoms (fractional coordinates):
Dy: 0.420 0.860 0.860
Dy: 0.860 0.860 0.420
Dy: 0.390 0.830 0.390
Dy: 0.860 0.860 0.860
Dy: 0.860 0.420 0.860
Dy: 0.830 0.390 0.390
Dy: 0.390 0.390 0.830
Dy: 0.390 0.390 0.390
Pt: 0.250 0.250 0.250
Pt: 0.000 0.000 0.000

***

# 2
An optimized crystal structure of DyPuPt2, computed with PBE.

Computed properties:
* crystal system: trigonal
* symmetry: R3m
* formation energy from the elements: -875 meV per atom
* E: -8.63 eV per atom

abc: 4.047 4.047 7.212
angles: 73.71 73.71 60.00
Last column: magnetic moment on the atom in μB.
Atoms (fractional coordinates):
Pt: 0.084 0.084 0.748  -0.05
Pt: 0.250 0.250 0.251  -0.06
Pu: 0.669 0.669 0.993  5.07
Dy: 0.497 0.497 0.509  0.08

***

# 3
An optimized crystal structure of DyPu3Pt4, computed with PBE.

Computed properties:
* crystal system: tetragonal
* symmetry: P4/mmm
* formation energy from the elements: -827 meV per atom
* E: -9.80 eV per atom

abc: 3.459 3.459 14.430
angles: 90.00 90.00 90.00
Last column: magnetic moment on the atom in μB.
Atoms (fractional coordinates):
Pt: 0.000 0.000 0.626  0.00
Pt: 0.000 0.000 0.882  0.01
Pt: 0.000 0.000 0.118  0.01
Pt: 0.000 0.000 0.374  0.00
Pu: 0.500 0.500 0.751  -5.18
Pu: 0.500 0.500 0.249  -5.18
Pu: 0.500 0.500 0.500  5.11
Dy: 0.500 0.500 0.000  -0.10

***

# 4
An optimized crystal structure of Dy3PuPt12, computed with PBE.

Computed properties:
* crystal system: tetragonal
* symmetry: P4/mmm
* formation energy from the elements: -953 meV per atom
* E: -7.24 eV per atom

abc: 4.127 4.127 16.504
angles: 90.00 90.00 90.00
Last column: magnetic moment on the atom in μB.
Atoms (fractional coordinates):
Pt: 0.500 0.000 0.125  -0.07
Pt: 0.500 0.000 0.875  -0.07
Pt: 0.000 0.500 0.875  -0.07
Pt: 0.000 0.500 0.624  -0.02
Pt: 0.500 0.500 0.000  -0.10
Pt: 0.500 0.500 0.749  -0.03
Pt: 0.500 0.000 0.624  -0.02
Pt: 0.000 0.500 0.125  -0.07
Pt: 0.000 0.500 0.376  -0.02
Pt: 0.500 0.000 0.376  -0.02
Pt: 0.500 0.500 0.251  -0.03
Pt: 0.500 0.500 0.500  -0.01
Dy: 0.000 0.000 0.252  0.00
Dy: 0.000 0.000 0.748  0.00
Dy: 0.000 0.000 0.500  0.01
Pu: 0.000 0.000 0.000  4.53

***

# 5
An optimized crystal structure of DyPuPt2, computed with PBE.

Computed properties:
* crystal system: tetragonal
* symmetry: P4/mmm
* formation energy from the elements: -966 meV per atom
* E: -8.72 eV per atom

abc: 3.460 3.460 7.177
angles: 90.00 90.00 90.00
Last column: magnetic moment on the atom in μB.
Atoms (fractional coordinates):
Pt: 0.000 0.000 0.762  0.00
Pt: 0.000 0.000 0.238  0.00
Dy: 0.500 0.500 0.000  0.10
Pu: 0.500 0.500 0.500  5.27

***

# 6
An optimized crystal structure of DyPuPt3, computed with PBE.

Computed properties:
* crystal system: monoclinic
* symmetry: P2_1/m
* formation energy from the elements: -930 meV per atom
* E: -8.34 eV per atom

abc: 5.583 8.797 10.792
angles: 127.50 90.00 90.00
Last column: magnetic moment on the atom in μB.
Atoms (fractional coordinates):
Dy: 0.750 0.998 0.334  0.07
Dy: 0.250 0.002 0.666  0.07
Dy: 0.750 0.498 0.834  0.07
Dy: 0.250 0.502 0.166  0.07
Pt: 0.250 0.087 0.971  -0.08
Pt: 0.500 0.750 0.750  -0.07
Pt: 0.250 0.916 0.361  -0.03
Pt: 0.750 0.913 0.029  -0.08
Pt: 0.250 0.587 0.471  -0.08
Pt: 0.750 0.084 0.639  -0.03
Pt: 0.000 0.750 0.750  -0.07
Pt: 0.000 0.250 0.250  -0.07
Pt: 0.500 0.250 0.250  -0.07
Pt: 0.750 0.584 0.139  -0.03
Pt: 0.750 0.413 0.529  -0.08
Pt: 0.250 0.416 0.861  -0.03
Pu: 0.750 0.665 0.445  5.02
Pu: 0.250 0.335 0.555  5.02
Pu: 0.250 0.835 0.055  5.02
Pu: 0.750 0.165 0.945  5.02

***

# 7
An optimized crystal structure of DyPuPt2, computed with PBE.

Computed properties:
* crystal system: orthorhombic
* symmetry: Amm2
* formation energy from the elements: -1033 meV per atom
* E: -8.79 eV per atom

abc: 3.814 4.371 5.721
angles: 90.00 109.46 90.00
Last column: magnetic moment on the atom in μB.
Atoms (fractional coordinates):
Pt: 0.173 0.500 0.886  -0.06
Pt: 0.993 0.000 0.525  -0.01
Pu: 0.721 0.000 0.981  5.14
Dy: 0.444 0.500 0.426  0.10

***

# 8
An optimized crystal structure of DyPuPt6, computed with PBE.

Computed properties:
* crystal system: tetragonal
* symmetry: P4/mmm
* formation energy from the elements: -872 meV per atom
* E: -7.77 eV per atom

abc: 4.133 4.133 8.284
angles: 90.00 90.00 90.00
Last column: magnetic moment on the atom in μB.
Atoms (fractional coordinates):
Pu: 0.000 0.000 0.500  4.55
Pt: 0.500 0.500 0.500  -0.10
Pt: 0.000 0.500 0.250  -0.07
Pt: 0.500 0.000 0.750  -0.07
Pt: 0.500 0.500 0.000  -0.04
Pt: 0.000 0.500 0.750  -0.07
Pt: 0.500 0.000 0.250  -0.07
Dy: 0.000 0.000 0.000  0.00

***

# 9
An optimized crystal structure of DyPuPtRh, computed with PBE.

Computed properties:
* crystal system: cubic
* symmetry: F-43m
* formation energy from the elements: -782 meV per atom
* E: -8.86 eV per atom

abc: 4.901 4.901 4.901
angles: 60.00 60.00 60.00
Last column: magnetic moment on the atom in μB.
Atoms (fractional coordinates):
Rh: 0.250 0.250 0.250  -0.16
Pt: 0.750 0.750 0.750  -0.04
Dy: 0.500 0.500 0.500  0.15
Pu: 0.000 0.000 0.000  5.14

***

# 10
An optimized crystal structure of DyPuPtRh, computed with PBE.

Computed properties:
* crystal system: orthorhombic
* symmetry: Amm2
* formation energy from the elements: -851 meV per atom
* E: -8.93 eV per atom

abc: 3.781 4.213 5.780
angles: 90.00 109.09 90.00
Last column: magnetic moment on the atom in μB.
Atoms (fractional coordinates):
Dy: 0.143 0.000 0.286  0.10
Pu: 0.864 0.500 0.728  5.05
Rh: 0.405 0.000 0.811  -0.26
Pt: 0.588 0.500 0.176  -0.01

***

# 11
An optimized crystal structure of DyPuRuPt, computed with PBE.

Computed properties:
* crystal system: cubic
* symmetry: F-43m
* formation energy from the elements: -562 meV per atom
* E: -9.13 eV per atom

abc: 4.868 4.868 4.868
angles: 60.00 60.00 60.00
Last column: magnetic moment on the atom in μB.
Atoms (fractional coordinates):
Pt: 0.000 0.000 0.000  -0.14
Pu: 0.250 0.250 0.250  4.97
Dy: 0.750 0.750 0.750  0.10
Ru: 0.500 0.500 0.500  -0.64

***

# 12
An optimized crystal structure of Dy2PuSi3Pt4, computed with PBE.

Computed properties:
* formation energy from raw total energies: -947 meV/atom
* crystal system: tetragonal
* symmetry: P-4m2
* E: -7.34 eV per atom

abc: 4.186 4.186 11.000
angles: 90.00 90.00 90.00
Last column: magnetic moment on the atom in μB.
Atoms (fractional coordinates):
Si: 0.500 0.000 0.880  0.01
Si: 0.000 0.500 0.120  0.01
Si: 0.000 0.000 0.500  -0.04
Dy: 0.000 0.500 0.775  0.07
Dy: 0.500 0.000 0.225  0.07
Pt: 0.500 0.500 0.000  0.02
Pt: 0.500 0.000 0.667  0.00
Pt: 0.000 0.500 0.333  0.00
Pt: 0.000 0.000 0.000  0.01
Pu: 0.500 0.500 0.500  5.00

***

Please write out number 4 again, unchanged.
An optimized crystal structure of Dy3PuPt12, computed with PBE.

Computed properties:
* crystal system: tetragonal
* symmetry: P4/mmm
* formation energy from the elements: -953 meV per atom
* E: -7.24 eV per atom

abc: 4.127 4.127 16.504
angles: 90.00 90.00 90.00
Last column: magnetic moment on the atom in μB.
Atoms (fractional coordinates):
Pt: 0.500 0.000 0.125  -0.07
Pt: 0.500 0.000 0.875  -0.07
Pt: 0.000 0.500 0.875  -0.07
Pt: 0.000 0.500 0.624  -0.02
Pt: 0.500 0.500 0.000  -0.10
Pt: 0.500 0.500 0.749  -0.03
Pt: 0.500 0.000 0.624  -0.02
Pt: 0.000 0.500 0.125  -0.07
Pt: 0.000 0.500 0.376  -0.02
Pt: 0.500 0.000 0.376  -0.02
Pt: 0.500 0.500 0.251  -0.03
Pt: 0.500 0.500 0.500  -0.01
Dy: 0.000 0.000 0.252  0.00
Dy: 0.000 0.000 0.748  0.00
Dy: 0.000 0.000 0.500  0.01
Pu: 0.000 0.000 0.000  4.53

***

Look up the E of the tenth one.
-8.93 eV per atom